The following is a PBE-GGA calculation of a geometry-optimized ThAl2Os2 structure, from the Alexandria database.

Cell lengths 4.1549, 4.1549, 11.2480 Å; angles 100.64, 100.64, 90.00 degrees
Closest atoms and distances in Å follow each position.
Fractional coordinates of all 10 atoms:
Al 0.8137 0.8137 0.6275  5 Os 2.50-2.53
Al 0.1863 0.1863 0.3725  5 Os 2.50-2.53
Th 0.6309 0.6309 0.2617  8 Al 3.17-3.52, 8 Os 3.23-3.32
Os 0.0696 0.0696 0.1391  5 Al 2.53-2.57
Os 0.2500 0.7500 0.5000  4 Al 2.50
Th 0.3691 0.3691 0.7383  8 Al 3.17-3.52, 8 Os 3.23-3.32
Al 0.5000 0.0000 0.0000  4 Os 2.57
Os 0.7500 0.2500 0.5000  4 Al 2.50
Al 0.0000 0.5000 0.0000  4 Os 2.57
Os 0.9304 0.9304 0.8609  5 Al 2.53-2.57

magnetization = 0.00 μB/f.u.
VASP energy = -78.58 eV/cell
density = 11.8 Mg/m³
crystal system = tetragonal